No. 1
Here is a relaxed SmDyY2Tl2 crystal from Alexandria. Energies are from PBE.

a b c (Å): 5.1224 10.0320 6.8724
angles (deg): 90.00 90.00 90.00
With the nearest neighbours (Å) after each atom.
Positions (direct):
Sm: 0.0000 0.0445 0.0000  5 Tl 3.25-3.54, 2 Dy 3.52, 2 Sm 3.55
Sm: 0.0000 0.9555 0.5000  5 Tl 3.25-3.54, 2 Dy 3.52, 2 Sm 3.55
Dy: 0.5000 0.1897 0.7200  4 Tl 3.21-3.27, 2 Sm 3.52
Dy: 0.5000 0.8103 0.2200  4 Tl 3.21-3.27, 2 Sm 3.52
Y: 0.0000 0.3152 0.3792  4 Tl 3.19-3.24, 2 Y 3.51
Y: 0.0000 0.6848 0.8792  4 Tl 3.19-3.24, 2 Y 3.51
Y: 0.5000 0.4547 0.0946  5 Tl 3.23-3.54, 4 Y 3.51-3.55
Y: 0.5000 0.5453 0.5946  5 Tl 3.23-3.54, 4 Y 3.51-3.55
Tl: 0.0000 0.3680 0.8386  6 Y 3.19-3.54, 2 Dy 3.23, 1 Sm 3.43
Tl: 0.0000 0.6320 0.3386  6 Y 3.19-3.54, 2 Dy 3.23, 1 Sm 3.43
Tl: 0.5000 0.1348 0.2599  2 Dy 3.21-3.27, 3 Y 3.24-3.40, 4 Sm 3.25-3.54
Tl: 0.5000 0.8652 0.7599  2 Dy 3.21-3.27, 3 Y 3.24-3.40, 4 Sm 3.25-3.54

Calculated values
Density of states at the Fermi level   13.12 states/eV/cell
Energy of formation from the pure elements   -0.289 eV per atom
Total energy   -4.786 eV per atom

---

No. 2
Here is a relaxed Lu3CdS crystal from Alexandria. Energies are from PBE.

a b c (Å): 5.0426 5.0426 5.0426
angles (deg): 90.00 90.00 90.00
With the nearest neighbours (Å) after each atom.
Positions (direct):
Lu: 0.0000 0.0000 0.5000  2 S 2.52
Lu: 0.0000 0.5000 0.0000  2 S 2.52
Lu: 0.5000 0.0000 0.0000  2 S 2.52
Cd: 0.5000 0.5000 0.5000  12 Lu 3.57
S: 0.0000 0.0000 0.0000  6 Lu 2.52

Calculated values
Energy relative to the elements, uncorrected   -0.698 eV/atom
Density of states at the Fermi level   3.56 states/eV/cell
Total energy   -4.419 eV per atom

---

No. 3
Here is a relaxed LaPm2HoSe5 crystal from Alexandria. Energies are from PBE.

a b c (Å): 5.1344 5.1344 11.0420
angles (deg): 90.00 90.00 90.00
With the nearest neighbours (Å) after each atom.
Positions (direct):
La: 0.0000 0.0000 0.0000  2 Se 2.78
Pm: 0.5000 0.5000 0.3366  4 Se 3.14
Pm: 0.5000 0.5000 0.6634  4 Se 3.14
Ho: 0.0000 0.0000 0.5000  6 Se 2.57-2.74
Se: 0.0000 0.0000 0.2518  1 Ho 2.74, 1 La 2.78
Se: 0.0000 0.0000 0.7482  1 Ho 2.74, 1 La 2.78
Se: 0.0000 0.5000 0.5000  2 Ho 2.57
Se: 0.5000 0.0000 0.5000  2 Ho 2.57
Se: 0.5000 0.5000 0.0000  4 La 3.63, 2 Pm 3.72

Calculated values
Energy relative to the elements, uncorrected   -1.332 eV/atom
Density of states at the Fermi level   7.11 states/eV/cell
Total energy   -5.379 eV per atom

---

No. 4
Here is a relaxed TbMg4Cd crystal from Alexandria. Energies are from PBE.

a b c (Å): 3.5662 3.5662 11.3108
angles (deg): 90.00 90.00 90.00
With the nearest neighbours (Å) after each atom.
Positions (direct):
Tb: 0.0000 0.0000 0.0000  8 Mg 3.31, 4 Tb 3.57
Mg: 0.0000 0.0000 0.3491  4 Cd 3.04, 4 Mg 3.10
Mg: 0.0000 0.0000 0.6509  4 Cd 3.04, 4 Mg 3.10
Mg: 0.5000 0.5000 0.1902  4 Mg 3.10, 4 Tb 3.31
Mg: 0.5000 0.5000 0.8098  4 Mg 3.10, 4 Tb 3.31
Cd: 0.5000 0.5000 0.5000  8 Mg 3.04

Calculated values
Polymorph energy (0 for the lowest one)   0.08 kcal/mol of atoms
Density of states at the Fermi level   3.75 states/eV/cell
Energy of formation from the pure elements   -0.071 eV per atom
Total energy   -2.059 eV per atom

---

No. 5
Here is a relaxed Rb2Pr2NpO6 crystal from Alexandria. Energies are from PBE.

a b c (Å): 6.2819 6.2819 7.0079
angles (deg): 98.25 98.25 119.83
With the nearest neighbours (Å) after each atom.
Positions (direct):
Rb: 0.1660 0.8340 0.0000  6 O 2.98-3.15
Rb: 0.8340 0.1660 0.0000  6 O 2.98-3.15
Pr: 0.3340 0.6660 0.5000  6 O 2.39-2.46
Pr: 0.6660 0.3340 0.5000  6 O 2.39-2.46
Np: 0.0000 0.0000 0.5000  6 O 2.21-2.30
O: 0.0462 0.3686 0.6675  1 Np 2.30, 2 Pr 2.39-2.45
O: 0.2486 0.2486 0.3329  1 Np 2.21, 2 Pr 2.46
O: 0.3686 0.0462 0.6675  1 Np 2.30, 2 Pr 2.39-2.45
O: 0.6314 0.9538 0.3325  1 Np 2.30, 2 Pr 2.39-2.45
O: 0.7514 0.7514 0.6671  1 Np 2.21, 2 Pr 2.46
O: 0.9538 0.6314 0.3325  1 Np 2.30, 2 Pr 2.39-2.45

Calculated values
Energy relative to the elements, uncorrected   -2.658 eV/atom
Density of states at the Fermi level   10.06 states/eV/cell
Total energy   -7.584 eV per atom

---

No. 6
Here is a relaxed Tl2InPtBr crystal from Alexandria. Energies are from PBE.

a b c (Å): 5.3919 5.3919 5.2566
angles (deg): 90.00 90.00 90.00
With the nearest neighbours (Å) after each atom.
Positions (direct):
Tl: 0.0000 0.5000 0.0000  2 Pt 2.70
Tl: 0.5000 0.0000 0.0000  2 Pt 2.70
In: 0.0000 0.0000 0.5000  2 Pt 2.63
Pt: 0.0000 0.0000 0.0000  2 In 2.63, 4 Tl 2.70
Br: 0.5000 0.5000 0.5000  8 Tl 3.77, 4 In 3.81

Calculated values
Energy relative to the elements, uncorrected   -0.431 eV/atom
Density of states at the Fermi level   0.72 states/eV/cell
Total energy   -3.468 eV per atom

---

Look up the density of states at the Fermi level of the fifth one. 10.06 states/eV/cell